1.
GGA-PBE KZnGeO4, relaxed; density of states at the Fermi level = 4.66 states/eV/cell; E = -5.224 eV per atom; formation energy (no corrections) = -1.39 eV/atom
1.0
-2.7020 4.9423 -0.6988
0.1222 -0.7289 -5.6275
-1.9532 -3.8576 3.3195
K Zn Ge O
1 1 1 4
Direct
0.0000 0.0000 0.0000
0.2500 0.7500 0.5000
0.5000 0.5000 0.0000
0.2352 0.1427 0.7363
0.4064 0.7648 0.2637
0.5011 0.5936 0.7363
0.8573 0.4989 0.2637

***

2.
GGA-PBE CdAgSN2, relaxed; excess energy over the best structure of this formula in the dataset = 0 meV/atom; density of states at the Fermi level = 2.53 states/eV/cell; E = -3.316 eV per atom; formation energy (no corrections) = 1.59 eV/atom
1.0
-1.3130 3.8091 0.4405
-3.6003 -1.3849 1.2437
1.7984 0.0158 5.2236
S N Ag Cd
1 2 1 1
Direct
0.0000 0.0000 0.5000
0.0000 0.5000 0.0000
0.5000 0.0000 0.0000
0.0000 0.0000 0.0000
0.5000 0.5000 0.5000

***

3.
GGA-PBE PmPrI2, relaxed; excess energy over the best structure of this formula in the dataset = 104 meV/atom; density of states at the Fermi level = 3.89 states/eV/cell; E = -3.921 eV per atom; formation energy (no corrections) = -0.76 eV/atom
1.0
3.9233 0.0000 0.0000
1.9616 3.3977 0.0000
1.9616 1.1326 11.0010
Pr I Pm
1 2 1
Direct
0.0000 0.0000 0.0000
0.0980 0.0980 0.7060
0.9020 0.9020 0.2940
0.5000 0.5000 0.5000

***

4.
GGA-PBE Ce2PrReN4, relaxed; density of states at the Fermi level = 6.90 states/eV/cell; E = -8.812 eV per atom; formation energy (no corrections) = -1.01 eV/atom
1.0
3.4474 0.0000 0.0000
-1.7237 6.0336 0.0000
0.0000 0.0000 11.7950
Ce Pr Re N
4 2 2 8
Direct
0.3675 0.7350 0.5459
0.6325 0.2650 0.0459
0.6325 0.2650 0.4541
0.3675 0.7350 0.9541
0.1149 0.2298 0.7500
0.8851 0.7702 0.2500
0.8542 0.7084 0.7500
0.1458 0.2916 0.2500
0.2664 0.5328 0.1279
0.7336 0.4672 0.6279
0.7336 0.4672 0.8721
0.2664 0.5328 0.3721
0.0000 0.0000 0.5000
0.0000 0.0000 0.0000
0.4524 0.9047 0.7500
0.5476 0.0953 0.2500

***

5.
GGA-PBE TcIr2Pt, relaxed; excess energy over the best structure of this formula in the dataset = 102 meV/atom; density of states at the Fermi level = 4.29 states/eV/cell; E = -8.571 eV per atom; E_form = -0.04 eV/atom
1.0
-3.3135 -1.7384 -2.9524
4.0156 0.8168 -2.4343
0.8526 -2.5568 0.5485
Ir Pt Tc
2 1 1
Direct
0.0000 0.0000 0.0000
0.5000 0.5000 0.0000
0.5000 0.0000 0.5000
0.0000 0.5000 0.5000

***

6.
GGA-PBE Al2Sn, relaxed; density of states at the Fermi level = 1.65 states/eV/cell; E = -3.508 eV per atom; E_form = 0.32 eV/atom
1.0
4.7361 0.0000 0.0000
2.3680 4.1016 0.0000
2.3680 1.3672 3.8670
Sn Al
1 2
Direct
0.0000 0.0000 0.0000
0.2500 0.2500 0.2500
0.7500 0.7500 0.7500

***

7.
GGA-PBE Tb4InCu2Ru, relaxed; density of states at the Fermi level = 4.54 states/eV/cell; E = -5.185 eV per atom; E_form = -0.34 eV/atom
1.0
-4.3114 2.5338 0.5511
-3.3355 -1.4377 3.4814
1.0413 5.2845 6.8153
Tb In Cu Ru
4 1 2 1
Direct
0.3851 0.3851 0.8446
0.8675 0.8675 0.3975
0.1325 0.1325 0.6025
0.6149 0.6149 0.1554
0.0000 0.0000 0.0000
0.7419 0.7419 0.7743
0.2581 0.2581 0.2257
0.5000 0.5000 0.5000

***

8.
GGA-PBE Sc4Tl2Au, relaxed; density of states at the Fermi level = 5.97 states/eV/cell; E = -5.056 eV per atom; E_form = -0.29 eV/atom
1.0
-3.4578 -3.4657 0.4735
1.0303 -4.1974 2.3479
-3.1801 0.7637 7.9126
Sc Tl Au
4 2 1
Direct
0.8770 0.8770 0.3690
0.1230 0.1230 0.6310
0.6258 0.6258 0.1225
0.3742 0.3742 0.8775
0.7557 0.7557 0.7328
0.2443 0.2443 0.2672
0.0000 0.0000 0.0000

***

9.
GGA-PBE MnPtN2, relaxed; excess energy over the best structure of this formula in the dataset = 181 meV/atom; density of states at the Fermi level = 5.73 states/eV/cell; E = -7.697 eV per atom; formation energy (no corrections) = 0.27 eV/atom
1.0
4.5865 0.0000 0.0000
0.0000 4.5865 0.0000
2.2933 2.2933 4.3405
Mn Pt N
2 2 4
Direct
0.5000 0.5000 0.0000
0.2500 0.7500 0.5000
0.0000 0.0000 0.0000
0.7500 0.2500 0.5000
0.5695 0.1250 0.2500
0.1805 0.6250 0.2500
0.3750 0.4305 0.7500
0.8750 0.8195 0.7500

***

10.
GGA-PBE DyThSc6, relaxed; excess energy over the best structure of this formula in the dataset = 13 meV/atom; density of states at the Fermi level = 15.02 states/eV/cell; E = -6.211 eV per atom; E_form = 0.04 eV/atom
1.0
-4.5644 1.0825 0.1346
-0.5307 -2.9788 5.9584
1.4605 5.7838 3.0119
Dy Th Sc
1 1 6
Direct
0.5000 0.5000 0.5000
0.5000 0.0000 0.0000
0.5000 0.0000 0.5000
0.5000 0.5000 0.0000
0.0000 0.2475 0.2475
0.0000 0.7525 0.7525
0.0000 0.7526 0.2474
0.0000 0.2474 0.7526

***

11.
GGA-PBE Mo3AuCl, relaxed; excess energy over the best structure of this formula in the dataset = 0 meV/atom; density of states at the Fermi level = 3.18 states/eV/cell; E = -6.556 eV per atom; formation energy (no corrections) = 0.97 eV/atom
1.0
-3.0381 2.4385 2.0596
-2.8686 -0.8391 -3.2381
-1.3996 -3.5732 2.1660
Mo Au Cl
3 1 1
Direct
0.0000 0.5000 0.0000
0.0000 0.0000 0.5000
0.5000 0.0000 0.0000
0.5000 0.5000 0.5000
0.0000 0.0000 0.0000

***

12.
GGA-PBE PRuRh2, relaxed; density of states at the Fermi level = 5.15 states/eV/cell; E = -7.509 eV per atom; E_form = -0.16 eV/atom
1.0
2.8415 0.0000 0.0000
0.0000 2.8415 0.0000
0.0000 0.0000 6.7101
P Ru Rh
1 1 2
Direct
0.5000 0.5000 0.7455
0.0000 0.0000 0.5386
0.0000 0.0000 0.9573
0.5000 0.5000 0.2586